Record 1
The following is a GGA-PBE calculation of a relaxed structure of GaTe2As, from the Alexandria database.

Its total magnetization is 0.00 μB/cell. The calculation puts the raw formation energy at -0.6 kcal/mol of atoms. As for the polymorph energy (0 for the lowest one): 0.0000 eV/atom. For the density of states at the Fermi level, the calculation gives 0.48 states/eV per cell.

The structure belongs to space group R3m (No. 160, hexagonal axes); the cell edges are 4.1555, 4.1555 and 23.0949 Å and the angles 90.00°, 90.00° and 120.00°. The inequivalent atoms are Ga at (0.0000, 0.0000, 0.0000), Te at (0.0000, 0.0000, 0.5899), Te at (0.0000, 0.0000, 0.7762) and As at (0.0000, 0.0000, 0.1775).

***

Record 2
The following is a GGA-PBE calculation of a relaxed structure of Mg2TeAu2, from the Alexandria database.

Its total magnetization is 0.00 μB/cell. The calculation puts the raw formation energy at -8.0 kcal/mol of atoms. As for the polymorph energy (0 for the lowest one): 0.0653 eV/atom. For the density of states at the Fermi level, the calculation gives 3.86 states/eV per cell.

The structure belongs to space group P4/mbm (No. 127); the cell edges are 8.114, 8.114 and 3.226 Å and the angles 90.00°, 90.00° and 90.00°. The inequivalent atoms are Mg at (0.163, 0.337, 0.000), Te at (0.000, 0.000, 0.000) and Au at (0.129, 0.629, 0.500).

***

Record 3
The following is a GGA-PBE calculation of a relaxed structure of Li5TlAu6, from the Alexandria database.

Its total magnetization is 0.00 μB/cell. The value obtained for the formation energy is -0.44 eV per atom. As for the polymorph energy (0 for the lowest one): 0.0000 eV/atom. For the density of states at the Fermi level, the calculation gives 5.68 states/eV per cell.

The structure belongs to space group Immm (No. 71); the cell edges are 4.403, 6.984 and 13.024 Å and the angles 90.00°, 90.00° and 90.00°. The inequivalent atoms are Li at (0.000, 0.000, 0.000), Li at (0.000, 0.000, 0.343), Li at (0.000, 0.500, 0.324), Tl at (0.000, 0.500, 0.000), Au at (0.000, 0.224, 0.175) and Au at (0.000, 0.289, 0.500).

***

Record 4
The following is a GGA-PBE calculation of a relaxed structure of ZrIn3Cl, from the Alexandria database.

Its total magnetization is 3.68 μB/cell. The calculation puts the raw formation energy at 9.6 kcal/mol of atoms. As for the polymorph energy (0 for the lowest one): 0.0000 eV/atom. For the density of states at the Fermi level, the calculation gives 4.20 states/eV per cell.

The structure belongs to space group Pm-3m (No. 221); the cell edges are 5.773, 5.773 and 5.773 Å and the angles 90.00°, 90.00° and 90.00°. The inequivalent atoms are Zr at (0.000, 0.000, 0.000), In at (0.000, 0.000, 0.500) and Cl at (0.500, 0.500, 0.500).

***

Record 5
The following is a GGA-PBE calculation of a relaxed structure of V2FePd, from the Alexandria database.

Its total magnetization is 4.38 μB/cell. The value obtained for the formation energy is 0.05 eV per atom. As for the polymorph energy (0 for the lowest one): 0.2106 eV/atom. For the density of states at the Fermi level, the calculation gives 20.55 states/eV per cell.

The structure belongs to space group Fm-3m (No. 225); the cell edges are 6.035, 6.035 and 6.035 Å and the angles 90.00°, 90.00° and 90.00°. The inequivalent atoms are V at (0.250, 0.250, 0.250), Fe at (0.000, 0.000, 0.000) and Pd at (0.000, 0.000, 0.500).

***

Record 6
The following is a GGA-PBE calculation of a relaxed structure of Zr2NbTlH, from the Alexandria database.

Its total magnetization is 0.00 μB/cell. As for the total energy: -6.7473 eV/atom. For the density of states at the Fermi level, the calculation gives 4.01 states/eV per cell.

The structure belongs to space group P4/mmm (No. 123); the cell edges are 4.646, 4.646 and 4.019 Å and the angles 90.00°, 90.00° and 90.00°. The inequivalent atoms are Zr at (0.000, 0.500, 0.000), Nb at (0.000, 0.000, 0.500), Tl at (0.500, 0.500, 0.500) and H at (0.000, 0.000, 0.000).

***

Record 7
The following is a GGA-PBE calculation of a relaxed structure of K2LaF, from the Alexandria database.

Its total magnetization is 11.14 μB/cell. The calculation puts the raw formation energy at 0.7 kcal/mol of atoms. For the density of states at the Fermi level, the calculation gives 39.80 states/eV per cell.

The structure belongs to space group Fm-3m (No. 225); the cell edges are 8.616, 8.616 and 8.616 Å and the angles 90.00°, 90.00° and 90.00°. The inequivalent atoms are K at (0.250, 0.250, 0.250), La at (0.000, 0.000, 0.000) and F at (0.000, 0.000, 0.500).

***

Record 8
The following is a GGA-PBE calculation of a relaxed structure of KMn2AlSi, from the Alexandria database.

Its total magnetization is 0.45 μB/cell. The calculation puts the raw formation energy at 41.1 kcal/mol of atoms. For the density of states at the Fermi level, the calculation gives 5.93 states/eV per cell.

The structure belongs to space group P4/mmm (No. 123); the cell edges are 4.579, 4.579 and 5.220 Å and the angles 90.00°, 90.00° and 90.00°. The inequivalent atoms are K at (0.000, 0.000, 0.000), Mn at (0.000, 0.500, 0.500), Al at (0.000, 0.000, 0.500) and Si at (0.500, 0.500, 0.000).

***

Record 9
The following is a GGA-PBE calculation of a relaxed structure of CeHo2Sb3, from the Alexandria database.

Its total magnetization is 1.48 μB/cell. The calculation puts the raw formation energy at -25.1 kcal/mol of atoms. For the density of states at the Fermi level, the calculation gives 14.29 states/eV per cell.

The structure belongs to space group Immm (No. 71); the cell edges are 4.408, 6.241 and 13.230 Å and the angles 90.00°, 90.00° and 90.00°. The inequivalent atoms are Ce at (0.000, 0.000, 0.000), Ho at (0.000, 0.000, 0.335), Sb at (0.000, 0.500, 0.000) and Sb at (0.000, 0.500, 0.330).

***

Record 10
The following is a GGA-PBE calculation of a relaxed structure of MgAlTlSn, from the Alexandria database.

Its total magnetization is 0.00 μB/cell. The value obtained for the formation energy is 0.10 eV per atom. For the density of states at the Fermi level, the calculation gives 11.88 states/eV per cell.

The structure belongs to space group F-43m (No. 216); the cell edges are 7.316, 7.316 and 7.316 Å and the angles 90.00°, 90.00° and 90.00°. The inequivalent atoms are Mg at (0.000, 0.000, 0.000), Al at (0.000, 0.000, 0.500), Tl at (0.250, 0.250, 0.250) and Sn at (0.250, 0.250, 0.750).

***

Record 11
The following is a GGA-PBE calculation of a relaxed structure of La3DyIn3, from the Alexandria database.

Its total magnetization is 0.03 μB/cell. The value obtained for the formation energy is -0.34 eV per atom. As for the polymorph energy (0 for the lowest one): 0.0000 eV/atom. For the density of states at the Fermi level, the calculation gives 36.34 states/eV per cell.

The structure belongs to space group P2_13 (No. 198); the cell edges are 9.613, 9.613 and 9.613 Å and the angles 90.00°, 90.00° and 90.00°. The inequivalent atoms are La at (0.037, 0.463, 0.537), La at (0.118, 0.882, 0.382), La at (0.208, 0.208, 0.208), Dy at (0.089, 0.589, 0.911) and In at (0.066, 0.266, 0.839).

***

Record 12
The following is a GGA-PBE calculation of a relaxed structure of CaCd9Pd2, from the Alexandria database.

Its total magnetization is 0.00 μB/cell. The value obtained for the formation energy is -0.24 eV per atom. For the density of states at the Fermi level, the calculation gives 25.14 states/eV per cell.

The structure belongs to space group I4_1/amd (No. 141, origin choice 2); the cell edges are 11.770, 11.770 and 7.619 Å and the angles 90.00°, 90.00° and 90.00°. The inequivalent atoms are Ca at (0.000, 0.250, 0.375), Cd at (0.000, 0.250, 0.875), Cd at (0.121, 0.050, 0.681) and Pd at (0.000, 0.000, 0.000).